# Ce6PuAgHg2 PBE-GGA optimized geometry
data_Ce6PuAgHg2
_chemical_formula_sum 'Ce6 Pu1 Ag1 Hg2'
_cell_length_a 7.866
_cell_length_b 7.218
_cell_length_c 7.456
_cell_angle_alpha 118.95
_cell_angle_beta 122.61
_cell_angle_gamma 90.00
_symmetry_space_group_name_H-M 'P 1'
_symmetry_Int_Tables_number 1
loop_
_symmetry_equiv_pos_as_xyz
'x,y,z'
loop_
_atom_site_label
_atom_site_fract_x
_atom_site_fract_y
_atom_site_fract_z
_atom_site_occupancy
Ce1 0.154 0.207 0.889 1
Ce2 0.154 0.681 0.889 1
Ce3 0.329 0.725 0.451 1
Ce4 0.671 0.275 0.549 1
Ce5 0.846 0.793 0.111 1
Ce6 0.846 0.319 0.111 1
Pu1 0.000 0.500 0.000 1
Hg1 0.264 0.270 0.540 1
Hg2 0.736 0.730 0.460 1
Ag1 0.500 0.000 0.000 1
# calculated density: 9068 kg/m3
# calculated formation energy: -0.171 eV per atom

---

# CePu2Ag2Hg2 PBE-GGA optimized geometry
data_CePu2Ag2Hg2
_chemical_formula_sum 'Ce1 Pu2 Ag2 Hg2'
_cell_length_a 5.066
_cell_length_b 5.066
_cell_length_c 8.040
_cell_angle_alpha 71.64
_cell_angle_beta 71.64
_cell_angle_gamma 60.00
_symmetry_space_group_name_H-M 'P 1'
_symmetry_Int_Tables_number 1
loop_
_symmetry_equiv_pos_as_xyz
'x,y,z'
loop_
_atom_site_label
_atom_site_fract_x
_atom_site_fract_y
_atom_site_fract_z
_atom_site_occupancy
Pu1 0.866 0.866 0.402 1
Pu2 0.134 0.134 0.598 1
Ag1 0.416 0.416 0.751 1
Ag2 0.584 0.584 0.249 1
Ce1 0.000 0.000 0.000 1
Hg1 0.727 0.727 0.819 1
Hg2 0.273 0.273 0.181 1
# calculated density: 12421 kg/m3
# calculated formation energy: -0.104 eV per atom

---

# CePuAgHg PBE-GGA optimized geometry
data_CePuAgHg
_chemical_formula_sum 'Ce1 Pu1 Ag1 Hg1'
_cell_length_a 5.306
_cell_length_b 5.306
_cell_length_c 5.306
_cell_angle_alpha 60.00
_cell_angle_beta 60.00
_cell_angle_gamma 60.00
_symmetry_space_group_name_H-M 'P 1'
_symmetry_Int_Tables_number 1
loop_
_symmetry_equiv_pos_as_xyz
'x,y,z'
loop_
_atom_site_label
_atom_site_fract_x
_atom_site_fract_y
_atom_site_fract_z
_atom_site_occupancy
Ag1 0.250 0.250 0.250 1
Ce1 0.500 0.500 0.500 1
Pu1 0.000 0.000 0.000 1
Hg1 0.750 0.750 0.750 1
# relative energy among the computed polymorphs: 66 meV per atom
# calculated density: 10888 kg/m3
# calculated formation energy: -0.073 eV per atom

---

# CeAgHgRh PBE-GGA optimized geometry
data_CeAgHgRh
_chemical_formula_sum 'Ce1 Ag1 Hg1 Rh1'
_cell_length_a 4.904
_cell_length_b 4.904
_cell_length_c 4.904
_cell_angle_alpha 60.00
_cell_angle_beta 60.00
_cell_angle_gamma 60.00
_symmetry_space_group_name_H-M 'P 1'
_symmetry_Int_Tables_number 1
loop_
_symmetry_equiv_pos_as_xyz
'x,y,z'
loop_
_atom_site_label
_atom_site_fract_x
_atom_site_fract_y
_atom_site_fract_z
_atom_site_occupancy
Ce1 0.000 0.000 0.000 1
Rh1 0.250 0.250 0.250 1
Ag1 0.750 0.750 0.750 1
Hg1 0.500 0.500 0.500 1
# calculated density: 10984 kg/m3
# calculated formation energy: -0.250 eV per atom

---

# CeScAgHg PBE-GGA optimized geometry
data_CeScAgHg
_chemical_formula_sum 'Ce1 Sc1 Ag1 Hg1'
_cell_length_a 5.159
_cell_length_b 5.159
_cell_length_c 5.159
_cell_angle_alpha 60.00
_cell_angle_beta 60.00
_cell_angle_gamma 60.00
_symmetry_space_group_name_H-M 'P 1'
_symmetry_Int_Tables_number 1
loop_
_symmetry_equiv_pos_as_xyz
'x,y,z'
loop_
_atom_site_label
_atom_site_fract_x
_atom_site_fract_y
_atom_site_fract_z
_atom_site_occupancy
Hg1 0.250 0.250 0.250 1
Ce1 0.000 0.000 0.000 1
Ag1 0.750 0.750 0.750 1
Sc1 0.500 0.500 0.500 1
# calculated density: 8439 kg/m3
# calculated formation energy: -0.220 eV per atom

---

# CeSc2AgHg4 PBE-GGA optimized geometry
data_CeSc2AgHg4
_chemical_formula_sum 'Ce1 Sc2 Ag1 Hg4'
_cell_length_a 4.909
_cell_length_b 4.909
_cell_length_c 9.420
_cell_angle_alpha 74.90
_cell_angle_beta 74.90
_cell_angle_gamma 60.00
_symmetry_space_group_name_H-M 'P 1'
_symmetry_Int_Tables_number 1
loop_
_symmetry_equiv_pos_as_xyz
'x,y,z'
loop_
_atom_site_label
_atom_site_fract_x
_atom_site_fract_y
_atom_site_fract_z
_atom_site_occupancy
Ce1 0.000 0.000 0.000 1
Ag1 0.500 0.500 0.500 1
Sc1 0.762 0.762 0.715 1
Sc2 0.238 0.238 0.285 1
Hg1 0.126 0.126 0.623 1
Hg2 0.387 0.387 0.839 1
Hg3 0.874 0.874 0.377 1
Hg4 0.613 0.613 0.161 1
# calculated density: 10099 kg/m3
# calculated formation energy: -0.265 eV per atom

---

# CeSm2Ag2Hg2 PBE-GGA optimized geometry
data_CeSm2Ag2Hg2
_chemical_formula_sum 'Ce1 Sm2 Ag2 Hg2'
_cell_length_a 4.932
_cell_length_b 4.932
_cell_length_c 9.156
_cell_angle_alpha 74.37
_cell_angle_beta 74.37
_cell_angle_gamma 60.00
_symmetry_space_group_name_H-M 'P 1'
_symmetry_Int_Tables_number 1
loop_
_symmetry_equiv_pos_as_xyz
'x,y,z'
loop_
_atom_site_label
_atom_site_fract_x
_atom_site_fract_y
_atom_site_fract_z
_atom_site_occupancy
Hg1 0.261 0.261 0.217 1
Hg2 0.739 0.739 0.783 1
Sm1 0.123 0.123 0.630 1
Sm2 0.877 0.877 0.370 1
Ce1 0.000 0.000 0.000 1
Ag1 0.399 0.399 0.803 1
Ag2 0.601 0.601 0.197 1
# calculated density: 9580 kg/m3
# calculated formation energy: -0.214 eV per atom

---

# CeSm2AgHg4 PBE-GGA optimized geometry
data_CeSm2AgHg4
_chemical_formula_sum 'Ce1 Sm2 Ag1 Hg4'
_cell_length_a 5.166
_cell_length_b 5.166
_cell_length_c 9.489
_cell_angle_alpha 74.21
_cell_angle_beta 74.21
_cell_angle_gamma 60.00
_symmetry_space_group_name_H-M 'P 1'
_symmetry_Int_Tables_number 1
loop_
_symmetry_equiv_pos_as_xyz
'x,y,z'
loop_
_atom_site_label
_atom_site_fract_x
_atom_site_fract_y
_atom_site_fract_z
_atom_site_occupancy
Hg1 0.377 0.377 0.869 1
Hg2 0.623 0.623 0.131 1
Hg3 0.125 0.125 0.624 1
Hg4 0.875 0.875 0.376 1
Ag1 0.500 0.500 0.500 1
Ce1 0.000 0.000 0.000 1
Sm1 0.241 0.241 0.278 1
Sm2 0.759 0.759 0.722 1
# calculated density: 10777 kg/m3
# calculated formation energy: -0.335 eV per atom